Record 1
Density functional theory data (PBE) for ScNi2Ag after structural relaxation.

Computed properties:
VASP energy: -5.0793 eV/atom
magnetic moment: 0.008 μB/atom

a = 2.9190 Å, b = 2.9190 Å, c = 25.1585 Å
α = 90.00°, β = 90.00°, γ = 120.00°
With the nearest neighbours (Å) after each atom.
Space group R-3m (No. 166, hexagonal axes)
Asymmetric unit:
Sc 0.0000 0.0000 0.0000  6 Ni 2.62, 6 Sc 2.92
Ni 0.0000 0.0000 0.2534  3 Sc 2.62, 3 Ag 2.76, 6 Ni 2.92
Ag 0.0000 0.0000 0.5000  6 Ni 2.76, 6 Ag 2.92

Record 2
Density functional theory data (PBE) for MgAs2Ir after structural relaxation.

Computed properties:
VASP energy: -5.1344 eV/atom
magnetic moment: 0.000 μB/atom

a = 3.0227 Å, b = 4.5462 Å, c = 11.3022 Å
α = 90.00°, β = 90.00°, γ = 90.00°
With the nearest neighbours (Å) after each atom.
Space group Immm (No. 71)
Asymmetric unit:
Mg 0.0000 0.0000 0.0000  4 Ir 2.73, 2 Mg 3.02, 4 As 3.05
As 0.0000 0.5000 0.1802  2 Ir 2.54
Ir 0.0000 0.0000 0.5000  4 As 2.54, 4 Mg 2.73

Record 3
Density functional theory data (PBE) for K3Rb2Na2 after structural relaxation.

Computed properties:
energy relative to the lowest polymorph listed for this composition: 3 meV per atom
magnetic moment: 0.000 μB/atom

a = 14.8542 Å, b = 6.1467 Å, c = 11.1740 Å
α = 90.00°, β = 111.31°, γ = 90.00°
With the nearest neighbours (Å) after each atom.
Space group C2/m (No. 12)
Asymmetric unit:
K 0.0000 0.0000 0.0000  4 Na 4.00
K 0.1290 0.0000 0.4387  3 Na 4.14-4.19, 4 K 4.51-4.57
Rb 0.1393 0.5000 0.7899  4 Na 4.29-4.49, 2 K 4.77
Na 0.1562 0.5000 0.1994  5 K 4.00-4.19, 3 Rb 4.29-4.44

Record 4
Density functional theory data (PBE) for Zr3CdH after structural relaxation.

Computed properties:
energy relative to the lowest polymorph listed for this composition: 49 meV per atom
magnetic moment: 0.000 μB/atom

a = 3.1910 Å, b = 9.2471 Å, c = 6.3662 Å
α = 90.00°, β = 90.45°, γ = 90.00°
With the nearest neighbours (Å) after each atom.
Space group P2/c (No. 13)
Asymmetric unit:
Zr 0.0000 0.0000 0.0000  2 H 2.03
Zr 0.5000 0.2514 0.2500  8 Zr 3.19-3.24, 4 Cd 3.21-3.23
Zr 0.5000 0.2695 0.7500  2 H 2.02
Cd 0.0000 0.5000 0.0000  8 Zr 3.10-3.23, 4 Cd 3.18-3.19
H 0.0000 0.1361 0.7500  4 Zr 2.02-2.03

Record 5
Density functional theory data (PBE) for Dy6FeHg2 after structural relaxation.

Computed properties:
VASP energy: -4.2826 eV/atom
magnetic moment: 0.000 μB/atom

a = 3.7567 Å, b = 14.5991 Å, c = 8.6152 Å
α = 90.00°, β = 90.00°, γ = 90.00°
With the nearest neighbours (Å) after each atom.
Space group Amm2 (No. 38)
Asymmetric unit:
Dy 0.0000 0.0000 0.0000  2 Fe 2.68
Dy 0.0000 0.1139 0.6404  2 Fe 2.78
Dy 0.5000 0.0000 0.3551  4 Hg 3.21, 6 Dy 3.51-3.59
Dy 0.5000 0.2007 0.9539  4 Hg 3.18-3.23, 1 Fe 3.30, 4 Dy 3.50-3.53
Fe 0.5000 0.0000 0.7783  6 Dy 2.68-2.78
Hg 0.0000 0.1683 0.2542  9 Dy 3.18-3.42

Record 6
Density functional theory data (PBE) for KMnRh2 after structural relaxation.

Computed properties:
energy relative to the lowest polymorph listed for this composition: 190 meV per atom
magnetic moment: 1.199 μB/atom

a = 9.0953 Å, b = 2.8938 Å, c = 6.6594 Å
α = 90.00°, β = 97.14°, γ = 90.00°
With the nearest neighbours (Å) after each atom.
Space group Cm (No. 8)
Asymmetric unit:
K 0.0000 0.0000 0.0000  2 K 2.89
Mn 0.2196 0.0000 0.6349  4 Rh 2.47-2.60
Rh 0.2653 0.5000 0.3484  2 Mn 2.47, 3 Rh 2.62-2.65
Rh 0.4991 0.0000 0.4706  3 Mn 2.60-2.89, 5 Rh 2.62-2.89